*A*
Computed, not measured: crystalline CrHgMo at its relaxed geometry at the GGA-PBEsol level of DFT.

Results
SG = Fmm2, No. 42
crystal system = orthorhombic
D(E_F) = 0.79 states/eV per atom

Cell lengths 7.066, 6.860, 2.775 Å; angles 82.72, 74.36, 22.92 degrees
Positions (direct):
Cr (0.000, 0.000, 0.000)
Hg (0.676, 0.676, 0.324)
Mo (0.365, 0.365, 0.635)

*B*
Computed, not measured: crystalline CrHgMo at its relaxed geometry at the GGA-PBEsol level of DFT.

Results
SG = F-43m, No. 216
crystal system = cubic
D(E_F) = 1.79 states/eV per atom

Cell lengths 4.369, 4.369, 4.369 Å; angles 60.00, 60.00, 60.00 degrees
Positions (direct):
Cr (0.000, 0.000, 0.000)
Hg (0.250, 0.250, 0.250)
Mo (0.500, 0.500, 0.500)

Referenced to the most stable arrangement, the calculated values in kJ/mol of atoms are *A* 0.0; *B* 90.7.